The following is a PBE calculation of Zn2InRh after structural relaxation, from the Alexandria database.

Unit cell a=3.088 b=3.088 c=7.282 alpha=90.00 beta=90.00 gamma=90.00
Fractional coordinates of all 4 atoms:
Zn  0.000  0.000  0.195
Zn  0.000  0.000  0.805
In  0.500  0.500  0.500
Rh  0.500  0.500  0.000

DOS(E_F) in states/eV/cell: 1.17
ΔH_f (0 K) in eV per formula unit: -0.65